Compound: Ca2Fe
Source: Alexandria via LeMat-Bulk
Functional: PBE
Structure: relaxed

The space group is P-62m (No. 189) and the conventional cell measures 8.5850, 8.5850 and 3.9133 Å, with angles of 90.00, 90.00 and 120.00 degrees. The inequivalent atoms are Ca at (0.0000, 0.2576, 0.0000), Ca at (0.0000, 0.5973, 0.5000), Fe at (0.0000, 0.0000, 0.5000) and Fe at (0.3333, 0.6667, 0.0000).



Compound: CaFe3
Source: Alexandria via LeMat-Bulk
Functional: PBE
Structure: relaxed

The space group is P6_3/mmc (No. 194) and the conventional cell measures 5.8144, 5.8144 and 8.8056 Å, with angles of 90.00, 90.00 and 120.00 degrees. The inequivalent atoms are Ca at (0.0000, 0.0000, 0.0000), Ca at (0.3333, 0.6667, 0.2500), Fe at (0.0000, 0.5000, 0.0000) and Fe at (0.1982, 0.3965, 0.7500).



Compound: CaFe
Source: Alexandria via LeMat-Bulk
Functional: PBE
Structure: relaxed

The space group is Pm-3n (No. 223) and the conventional cell measures 8.0839, 8.0839 and 8.0839 Å, with angles of 90.00, 90.00 and 90.00 degrees. The inequivalent atoms are Ca at (0.0000, 0.2500, 0.5000) and Fe at (0.0000, 0.5000, 0.2500).



Compound: CaFe
Source: Alexandria via LeMat-Bulk
Functional: PBE
Structure: relaxed

The space group is Cm (No. 8) and the conventional cell measures 10.9868, 3.7930 and 7.0874 Å, with angles of 90.00, 98.97 and 90.00 degrees. The inequivalent atoms are Ca at (0.0000, 0.0000, 0.0000), Ca at (0.0574, 0.0000, 0.5635), Ca at (0.2955, 0.0000, 0.2492), Fe at (0.2163, 0.5000, 0.8763), Fe at (0.2800, 0.5000, 0.5839) and Fe at (0.3245, 0.0000, 0.7743).



Compound: CaFe3
Source: Alexandria via LeMat-Bulk
Functional: PBE
Structure: relaxed

The space group is Pm-3m (No. 221) and the conventional cell measures 3.9582, 3.9582 and 3.9582 Å, with angles of 90.00, 90.00 and 90.00 degrees. The inequivalent atoms are Ca at (0.0000, 0.0000, 0.0000) and Fe at (0.0000, 0.5000, 0.5000).



Compound: CaFe3
Source: Alexandria via LeMat-Bulk
Functional: PBE
Structure: relaxed

The space group is Cmmm (No. 65) and the conventional cell measures 5.3784, 8.5646 and 2.6043 Å, with angles of 90.00, 90.00 and 90.00 degrees. The inequivalent atoms are Ca at (0.0000, 0.0000, 0.0000), Fe at (0.0000, 0.5000, 0.0000) and Fe at (0.2500, 0.2500, 0.5000).



Compound: Ca2Fe
Source: Alexandria via LeMat-Bulk
Functional: PBE
Structure: relaxed

The space group is Cmcm (No. 63) and the conventional cell measures 3.7462, 25.0468 and 4.0164 Å, with angles of 90.00, 90.00 and 90.00 degrees. The inequivalent atoms are Ca at (0.0000, 0.0697, 0.2500), Ca at (0.0000, 0.1957, 0.7500) and Fe at (0.0000, 0.4753, 0.2500).



Compound: CaFe6
Source: Alexandria via LeMat-Bulk
Functional: PBE
Structure: relaxed

The space group is Im-3m (No. 229) and the conventional cell measures 6.0466, 6.0466 and 6.0466 Å, with angles of 90.00, 90.00 and 90.00 degrees. The inequivalent atoms are Ca at (0.0000, 0.0000, 0.0000) and Fe at (0.0000, 0.2500, 0.5000).



Compound: Ca3Fe
Source: Alexandria via LeMat-Bulk
Functional: PBE
Structure: relaxed

The space group is Pnma (No. 62) and the conventional cell measures 7.9726, 9.6596 and 6.5013 Å, with angles of 90.00, 90.00 and 90.00 degrees. The inequivalent atoms are Ca at (0.0373, 0.2500, 0.1254), Ca at (0.1749, 0.0609, 0.6511) and Fe at (0.1258, 0.7500, 0.4399).



Compound: CaFe
Source: Alexandria via LeMat-Bulk
Functional: PBE
Structure: relaxed

The space group is I4/mmm (No. 139) and the conventional cell measures 10.6316, 10.6316 and 3.8629 Å, with angles of 90.00, 90.00 and 90.00 degrees. The inequivalent atoms are Ca at (0.0000, 0.2662, 0.0000) and Fe at (0.2111, 0.2111, 0.5000).



Compound: CaFe
Source: Alexandria via LeMat-Bulk
Functional: PBE
Structure: relaxed

The space group is R-3m (No. 166, hexagonal axes) and the conventional cell measures 3.2383, 3.2383 and 14.4520 Å, with angles of 90.00, 90.00 and 120.00 degrees. The inequivalent atoms are Ca at (0.0000, 0.0000, 0.0000) and Fe at (0.0000, 0.0000, 0.5000).



Compound: CaFe4
Source: Alexandria via LeMat-Bulk
Functional: PBE
Structure: relaxed

The space group is Pm-3m (No. 221) and the conventional cell measures 4.4391, 4.4391 and 4.4391 Å, with angles of 90.00, 90.00 and 90.00 degrees. The inequivalent atoms are Ca at (0.0000, 0.0000, 0.0000), Fe at (0.0000, 0.0000, 0.5000) and Fe at (0.5000, 0.5000, 0.5000).



Number 1: total moment 6.29 Bohr magnetons per cell, calculated total energy -33.172 eV for the cell shown. Number 2: total moment 30.32 Bohr magnetons per cell, calculated total energy -101.624 eV for the cell shown. Number 3: total moment 13.59 Bohr magnetons per cell, calculated total energy -41.430 eV for the cell shown. Number 4: total moment 13.56 Bohr magnetons per cell, calculated total energy -58.921 eV for the cell shown. Number 5: total moment 7.62 Bohr magnetons per cell, calculated total energy -24.960 eV for the cell shown. Number 6: total moment 14.14 Bohr magnetons per cell, calculated total energy -49.547 eV for the cell shown. Number 7: total moment 9.08 Bohr magnetons per cell, calculated total energy -45.519 eV for the cell shown. Number 8: total moment 0.01 Bohr magnetons per cell, calculated total energy -95.554 eV for the cell shown. Number 9: total moment 7.13 Bohr magnetons per cell, calculated total energy -52.863 eV for the cell shown. Number 10: total moment 17.52 Bohr magnetons per cell, calculated total energy -76.129 eV for the cell shown. Number 11: total moment 7.07 Bohr magnetons per cell, calculated total energy -26.326 eV for the cell shown. Number 12: total moment 10.47 Bohr magnetons per cell, calculated total energy -25.264 eV for the cell shown.